Entry 1:
NaBeZn2H: relaxed, GGA-PBEsol.

Unit cell a=4.226 b=4.226 c=5.406 alpha=90.00 beta=90.00 gamma=90.00
Sites, in units of the cell vectors:
Na (0.000, 0.000, 0.500)
Zn (0.000, 0.500, 0.000)
Zn (0.500, 0.000, 0.000)
H (0.500, 0.500, 0.500)
Be (0.000, 0.000, 0.000)

Properties
Calculated volume: 19.3 Å³/atom
D(E_F): 1.5 states/eV/cell
E_tot: -8.59 eV for the cell shown


Entry 2:
Be3NbH: relaxed, GGA-PBEsol.

Unit cell a=3.549 b=3.549 c=3.549 alpha=90.00 beta=90.00 gamma=90.00
Sites, in units of the cell vectors:
Be (0.000, 0.500, 0.000)
Be (0.000, 0.000, 0.500)
Be (0.500, 0.000, 0.000)
Nb (0.500, 0.500, 0.500)
H (0.000, 0.000, 0.000)

Properties
Calculated volume: 8.9 Å³/atom
D(E_F): 1.2 states/eV/cell
E_tot: -25.54 eV for the cell shown


Entry 3:
Be2NbH: relaxed, GGA-PBEsol.

Unit cell a=3.874 b=3.874 c=3.874 alpha=60.00 beta=60.00 gamma=60.00
Sites, in units of the cell vectors:
Be (0.250, 0.250, 0.250)
Be (0.750, 0.750, 0.750)
Nb (0.500, 0.500, 0.500)
H (0.000, 0.000, 0.000)

Properties
Calculated volume: 10.3 Å³/atom
D(E_F): 0.9 states/eV/cell
E_tot: -18.46 eV for the cell shown


Entry 4:
BeNbReH2: relaxed, GGA-PBEsol.

Unit cell a=3.557 b=3.557 c=4.535 alpha=90.00 beta=90.00 gamma=90.00
Sites, in units of the cell vectors:
Re (0.000, 0.000, 0.500)
Nb (0.500, 0.500, 0.500)
H (0.000, 0.500, 0.000)
H (0.500, 0.000, 0.000)
Be (0.000, 0.000, 0.000)

Properties
Calculated volume: 11.5 Å³/atom
D(E_F): 3.2 states/eV/cell
E_tot: -29.59 eV for the cell shown


Entry 5:
BeNi3H: relaxed, GGA-PBEsol.

Unit cell a=3.458 b=3.458 c=3.458 alpha=90.00 beta=90.00 gamma=90.00
Site moments in Bohr magnetons follow the coordinates.
Sites, in units of the cell vectors:
Ni (0.000, 0.500, 0.000)  0.23
Ni (0.000, 0.000, 0.500)  0.23
Ni (0.500, 0.000, 0.000)  0.23
H (0.000, 0.000, 0.000)  0.00
Be (0.500, 0.500, 0.500)  -0.01

Properties
Calculated volume: 8.3 Å³/atom
D(E_F): 4.7 states/eV/cell
E_tot: -26.75 eV for the cell shown


Entry 6:
BeNiH2: relaxed, GGA-PBEsol.

Unit cell a=3.615 b=3.615 c=4.588 alpha=113.20 beta=113.20 gamma=90.00
Sites, in units of the cell vectors:
Ni (0.250, 0.750, 0.500)
Ni (0.000, 0.000, 0.000)
H (0.385, 0.875, 0.250)
H (0.865, 0.375, 0.250)
H (0.125, 0.135, 0.750)
H (0.625, 0.615, 0.750)
Be (0.750, 0.250, 0.500)
Be (0.500, 0.500, 0.000)

Properties
Calculated volume: 6.2 Å³/atom
E_tot: -33.64 eV for the cell shown


Entry 7:
BeH2O2: relaxed, GGA-PBEsol.

Unit cell a=4.753 b=4.750 c=5.728 alpha=90.00 beta=90.00 gamma=90.00
Sites, in units of the cell vectors:
Be (0.580, 0.170, 0.875)
Be (0.080, 0.330, 0.125)
Be (0.920, 0.830, 0.375)
Be (0.420, 0.670, 0.625)
O (0.420, 0.275, 0.112)
O (0.920, 0.225, 0.888)
O (0.080, 0.725, 0.612)
O (0.580, 0.775, 0.388)
O (0.526, 0.829, 0.862)
O (0.026, 0.671, 0.138)
O (0.974, 0.171, 0.362)
O (0.474, 0.329, 0.638)
H (0.505, 0.434, 0.200)
H (0.005, 0.066, 0.800)
H (0.995, 0.566, 0.700)
H (0.495, 0.934, 0.300)
H (0.685, 0.745, 0.949)
H (0.185, 0.755, 0.051)
H (0.815, 0.255, 0.449)
H (0.315, 0.245, 0.551)

Properties
Calculated volume: 6.5 Å³/atom
D(E_F): 0.0 states/eV/cell
E_tot: -118.84 eV for the cell shown


Entry 8:
BeH8SO8: relaxed, GGA-PBEsol.

Unit cell a=7.798 b=7.798 c=7.798 alpha=91.68 beta=119.04 gamma=119.04
Sites, in units of the cell vectors:
Be (0.000, 0.000, 0.000)
Be (0.000, 0.500, 0.500)
H (0.093, 0.105, 0.759)
H (0.907, 0.665, 0.012)
H (0.907, 0.741, 0.395)
H (0.093, 0.488, 0.835)
H (0.346, 0.605, 0.512)
H (0.654, 0.165, 0.259)
H (0.654, 0.988, 0.895)
H (0.346, 0.241, 0.335)
H (0.806, 0.920, 0.649)
H (0.194, 0.843, 0.114)
H (0.194, 0.851, 0.580)
H (0.806, 0.386, 0.657)
H (0.271, 0.420, 0.614)
H (0.729, 0.343, 0.149)
H (0.729, 0.886, 0.080)
H (0.271, 0.351, 0.157)
S (0.500, 0.250, 0.750)
S (0.500, 0.750, 0.250)
O (0.966, 0.027, 0.783)
O (0.034, 0.818, 0.062)
O (0.034, 0.717, 0.473)
O (0.966, 0.438, 0.682)
O (0.244, 0.527, 0.562)
O (0.756, 0.318, 0.283)
O (0.756, 0.938, 0.973)
O (0.244, 0.217, 0.182)
O (0.285, 0.241, 0.698)
O (0.715, 0.414, 0.956)
O (0.715, 0.802, 0.259)
O (0.285, 0.544, 0.086)
O (0.542, 0.741, 0.456)
O (0.458, 0.914, 0.198)
O (0.458, 0.044, 0.759)
O (0.542, 0.302, 0.586)

Properties
Calculated volume: 9.4 Å³/atom
D(E_F): 0.0 states/eV/cell
E_tot: -202.78 eV for the cell shown